Record 1
A plane-wave DFT calculation with GGA-PBE was carried out for a relaxed structure of ZnCuW2.

Cell and atoms, written as POSCAR:
```
ZnCuW2
1.0
4.690 -1.462 0.000
4.690 1.462 0.000
-1.040 0.000 4.374
Zn Cu W
1 1 2
Direct
0.000 0.000 0.000 Zn
0.500 0.500 0.500 Cu
0.246 0.246 0.745 W
0.754 0.754 0.255 W
```

symmetry = C2/m

Record 2
A plane-wave DFT calculation with GGA-PBE was carried out for a relaxed structure of ZnCu2W.

Cell and atoms, written as POSCAR:
```
ZnCu2W
1.0
2.709 0.000 0.000
0.000 2.709 0.000
0.000 0.000 7.374
Zn Cu W
1 2 1
Direct
0.000 0.000 0.000 Zn
0.000 0.000 0.464 Cu
0.500 0.500 0.238 Cu
0.500 0.500 0.723 W
```

symmetry = P4mm

Record 3
A plane-wave DFT calculation with GGA-PBE was carried out for a relaxed structure of ZnCu2W.

Cell and atoms, written as POSCAR:
```
ZnCu2W
1.0
2.657 0.000 0.000
0.000 4.544 0.000
0.000 0.000 4.604
Zn Cu W
1 2 1
Direct
0.000 0.000 0.000 Zn
0.000 0.500 0.500 Cu
0.500 0.500 0.000 Cu
0.500 0.000 0.500 W
```

symmetry = Pmmm

Record 4
A plane-wave DFT calculation with GGA-PBE was carried out for a relaxed structure of ZnCu2W.

Cell and atoms, written as POSCAR:
```
ZnCu2W
1.0
-3.363 3.363 2.595
3.363 -3.363 2.595
3.363 3.363 -2.595
Zn Cu W
2 4 2
Direct
0.000 0.000 0.000 Zn
0.750 0.250 0.500 Zn
0.110 0.625 0.985 Cu
0.375 0.360 0.485 Cu
0.640 0.125 0.015 Cu
0.875 0.890 0.515 Cu
0.250 0.750 0.500 W
0.500 0.500 0.000 W
```

symmetry = I-42d

Record 5
A plane-wave DFT calculation with GGA-PBE was carried out for a relaxed structure of ZnCuW2.

Cell and atoms, written as POSCAR:
```
ZnCuW2
1.0
-1.841 1.907 4.167
1.841 -1.907 4.167
1.841 1.907 -4.167
Zn Cu W
1 1 2
Direct
0.000 0.000 0.000 Zn
0.500 0.500 0.000 Cu
0.250 0.750 0.500 W
0.750 0.250 0.500 W
```

symmetry = Immm

Record 6
A plane-wave DFT calculation with GGA-PBE was carried out for a relaxed structure of ZnCu2W.

Cell and atoms, written as POSCAR:
```
ZnCu2W
1.0
2.704 0.000 0.000
0.000 2.704 0.000
0.000 0.000 7.403
Zn Cu W
1 2 1
Direct
0.000 0.000 0.000 Zn
0.500 0.500 0.239 Cu
0.500 0.500 0.761 Cu
0.000 0.000 0.500 W
```

symmetry = P4/mmm

Total magnetization (μB/f.u.)
0.0; 0.0; 0.0; 0.0; 0.0; 0.0
Energy of formation (meV per atom)
357.5; 135.2; 356.9; 777.8; 298.2; 122.0